Record 1
# LiCuRh2

A relaxed structure of LiCuRh2 (GGA-PBEsol, the Alexandria database).

Lattice parameters (Å, degrees): 2.673 4.306 4.440 90.00 90.00 90.00
Element x y z (fractional)
Rh: 0.500 0.000 0.500
Rh: 0.000 0.000 0.000
Cu: 0.500 0.500 0.000
Li: 0.000 0.500 0.500

Output
As for the space group: No. 47. The spin magnetization is 0.0 μB/cell. Its mass density is 8.98 g cm⁻³. The calculation puts the uncorrected energy at -5.621 eV/atom.

***

Record 2
# Sr3ScGa

A relaxed structure of Sr3ScGa (GGA-PBEsol, the Alexandria database).

Lattice parameters (Å, degrees): 6.135 6.135 6.135 90.00 90.00 90.00
Element x y z (fractional)
Sr: 0.000 0.500 0.000
Sr: 0.000 0.000 0.500
Sr: 0.500 0.000 0.000
Ga: 0.500 0.500 0.500
Sc: 0.000 0.000 0.000

Output
As for the space group: No. 221. The spin magnetization is 2.4 μB/cell. Its mass density is 2.71 g cm⁻³. The calculation puts the uncorrected energy at -2.274 eV/atom.

***

Record 3
# CoP2Se

A relaxed structure of CoP2Se (GGA-PBEsol, the Alexandria database).

Lattice parameters (Å, degrees): 2.602 2.602 9.821 90.00 90.00 90.00
Element x y z (fractional)
Se: 0.500 0.500 0.000
Co: 0.500 0.500 0.500
P: 0.000 0.000 0.347
P: 0.000 0.000 0.653

Output
As for the space group: No. 123. The spin magnetization is 0.6 μB/cell. Its mass density is 4.99 g cm⁻³. The calculation puts the uncorrected energy at -5.810 eV/atom. The uncorrected formation energy is -0.018 eV/atom.

***

Record 4
# KYO2

A relaxed structure of KYO2 (GGA-PBEsol, the Alexandria database).

Lattice parameters (Å, degrees): 5.973 6.185 5.973 118.88 90.00 118.88
Element x y z (fractional)
Y: 0.250 0.500 0.750
Y: 0.000 0.000 0.000
O: 0.295 0.250 0.375
O: 0.125 0.750 0.705
O: 0.625 0.750 0.045
O: 0.955 0.250 0.875
K: 0.750 0.500 0.250
K: 0.500 0.000 0.500

Output
As for the space group: No. 122. The spin magnetization is 0.0 μB/cell. Its mass density is 3.30 g cm⁻³. The calculation puts the uncorrected energy at -7.245 eV/atom. The uncorrected formation energy is -2.632 eV/atom.